No. 1
{"formula": "TiNiTeN2", "functional": "GGA-PBE", "state": "relaxed", "e_form_raw_kj_per_mol_atoms": 102.5, "relative_energy_mev_per_atom": 528, "total_magnetization_mub_per_cell": 0.00, "cell": [[3.834, 0.000, 0.000], [0.000, 3.834, 0.000], [0.000, 0.000, 4.946]], "species": ["Te", "Ti", "N", "N", "Ni"], "frac_coords": [[0.000, 0.000, 0.500], [0.500, 0.500, 0.500], [0.000, 0.500, 0.000], [0.500, 0.000, 0.000], [0.000, 0.000, 0.000]]}


No. 2
{"formula": "TmBeGa2Cu4", "functional": "GGA-PBE", "state": "relaxed", "formation_enthalpy_0k_ev_per_atom": -0.198, "total_magnetization_mub_per_cell": 0.00, "cell": [[-0.827, 3.214, -2.393], [0.348, -0.332, -4.063], [-7.843, -1.365, -2.620]], "species": ["Cu", "Cu", "Cu", "Cu", "Be", "Ga", "Ga", "Tm"], "frac_coords": [[0.862, 0.862, 0.414], [0.138, 0.138, 0.586], [0.593, 0.593, 0.221], [0.407, 0.407, 0.779], [0.500, 0.500, 0.500], [0.246, 0.246, 0.262], [0.754, 0.754, 0.738], [0.000, 0.000, 0.000]]}


No. 3
{"formula": "NaMgGa4", "functional": "GGA-PBE", "state": "relaxed", "formation_enthalpy_0k_ev_per_atom": -0.131, "total_magnetization_mub_per_cell": 0.00, "cell": [[4.361, 0.000, 0.000], [2.181, 5.176, -1.052], [2.181, 0.507, 5.257]], "species": ["Ga", "Ga", "Ga", "Ga", "Na", "Mg"], "frac_coords": [[0.793, 0.542, 0.872], [0.793, 0.872, 0.542], [0.207, 0.458, 0.128], [0.207, 0.128, 0.458], [0.000, 0.000, 0.000], [0.500, 0.500, 0.500]]}


No. 4
{"formula": "BaMgGa2Pd", "functional": "GGA-PBE", "state": "relaxed", "formation_enthalpy_0k_ev_per_atom": -0.416, "relative_energy_mev_per_atom": 92, "total_magnetization_mub_per_cell": 0.00, "cell": [[-0.209, -1.230, -4.793], [1.274, -4.649, 1.138], [-4.888, -1.211, 0.525]], "species": ["Ga", "Ga", "Pd", "Ba", "Mg"], "frac_coords": [[0.000, 0.500, 0.000], [0.500, 0.000, 0.000], [0.000, 0.000, 0.000], [0.500, 0.500, 0.500], [0.000, 0.000, 0.500]]}


No. 5
{"formula": "Mg2ReW", "functional": "GGA-PBE", "state": "relaxed", "formation_enthalpy_0k_ev_per_atom": 0.253, "relative_energy_mev_per_atom": 72, "total_magnetization_mub_per_cell": 0.00, "cell": [[-2.949, -1.305, 3.095], [1.320, -2.418, 0.238], [3.620, 1.306, 4.000]], "species": ["Mg", "Mg", "Re", "W"], "frac_coords": [[0.000, 0.001, 0.000], [0.500, 0.258, 0.253], [0.000, 0.530, 0.521], [0.500, 0.711, 0.726]]}


No. 6
{"formula": "Tl2CrCl", "functional": "GGA-PBE", "state": "relaxed", "e_form_raw_kj_per_mol_atoms": -6.6, "relative_energy_mev_per_atom": 12, "total_magnetization_mub_per_cell": 3.78, "cell": [[-7.058, 1.358, 7.031], [-9.038, 0.153, 4.403], [-7.370, -2.094, 6.511]], "species": ["Cl", "Tl", "Tl", "Cr"], "frac_coords": [[0.472, 0.472, 0.472], [0.016, 0.016, 0.016], [0.255, 0.255, 0.255], [0.757, 0.757, 0.757]]}


No. 7
{"formula": "HfFe2Ag", "functional": "GGA-PBE", "state": "relaxed", "formation_enthalpy_0k_ev_per_atom": 0.211, "relative_energy_mev_per_atom": 0, "total_magnetization_mub_per_cell": 3.71, "cell": [[3.156, 2.725, 1.500], [-0.255, 1.637, 4.110], [2.828, -1.388, 3.117]], "species": ["Ag", "Fe", "Fe", "Hf"], "frac_coords": [[0.000, 0.000, 0.000], [0.750, 0.750, 0.750], [0.250, 0.250, 0.250], [0.500, 0.500, 0.500]]}


No. 8
{"formula": "MgBePt2", "functional": "GGA-PBE", "state": "relaxed", "formation_enthalpy_0k_ev_per_atom": -0.696, "total_magnetization_mub_per_cell": 0.00, "cell": [[4.066, 0.000, 0.000], [0.000, 4.064, 0.000], [0.000, 0.000, 3.328]], "species": ["Be", "Mg", "Pt", "Pt"], "frac_coords": [[0.500, 0.000, 0.500], [0.000, 0.500, 0.500], [0.500, 0.500, 0.000], [0.000, 0.000, 0.000]]}